No. 1
{"formula": "Ta2OsBr", "functional": "PBE-GGA", "state": "optimized geometry", "cell": [[-1.5797, 2.3362, 4.6140], [1.5797, -2.3362, 4.6140], [1.5797, 2.3362, -4.6140]], "species": ["Ta", "Ta", "Os", "Br"], "fractional_positions": [[0.2459, 0.2459, 0.0000], [0.7541, 0.7541, 0.0000], [0.5000, 0.0000, 0.5000], [0.0000, 0.5000, 0.5000]], "magmom_total_mub_per_fu": 0.0, "volume_a3_per_atom": 17.0, "polymorph_energy_ev_per_fu": 2.24, "e_form_raw_ev_per_fu": 2.81}

No. 2
{"formula": "DyErHg2", "functional": "PBE-GGA", "state": "optimized geometry", "cell": [[0.0000, 3.7078, 3.7078], [3.7078, 0.0000, 3.7078], [3.7078, 3.7078, 0.0000]], "species": ["Dy", "Er", "Hg", "Hg"], "fractional_positions": [[0.0000, 0.0000, 0.0000], [0.5000, 0.5000, 0.5000], [0.2500, 0.2500, 0.2500], [0.7500, 0.7500, 0.7500]], "magmom_total_mub_per_fu": 0.0, "volume_a3_per_atom": 25.5, "polymorph_energy_ev_per_fu": 0.01, "formation_enthalpy_0k_ev_per_atom": -0.478}

No. 3
{"formula": "RbBaClO", "functional": "PBE-GGA", "state": "optimized geometry", "cell": [[2.0263, 1.1699, 7.9710], [-2.0263, 1.1699, 7.9710], [0.0000, -2.3398, 7.9710]], "species": ["Rb", "Ba", "Cl", "O"], "fractional_positions": [[0.0000, 0.0000, 0.0000], [0.1406, 0.1406, 0.1406], [0.5736, 0.5736, 0.5736], [0.4256, 0.4256, 0.4256]], "magmom_total_mub_per_fu": 0.0, "volume_a3_per_atom": 28.3, "e_form_raw_ev_per_fu": -8.13}

No. 4
{"formula": "TbHo3Er2S6", "functional": "PBE-GGA", "state": "optimized geometry", "cell": [[3.3548, -5.8376, 0.0000], [3.3548, 5.8376, 0.0000], [-2.2428, 0.0000, 6.3420]], "species": ["Tb", "Ho", "Ho", "Ho", "Er", "Er", "S", "S", "S", "S", "S", "S"], "fractional_positions": [[0.0000, 0.0000, 0.0000], [0.1648, 0.8352, 0.5000], [0.5000, 0.5000, 0.5000], [0.8352, 0.1648, 0.5000], [0.3337, 0.6663, 0.0000], [0.6663, 0.3337, 0.0000], [0.0834, 0.4205, 0.2505], [0.2539, 0.2539, 0.7508], [0.4205, 0.0834, 0.2505], [0.5795, 0.9166, 0.7495], [0.7461, 0.7461, 0.2492], [0.9166, 0.5795, 0.7495]], "magmom_total_mub_per_fu": 0.0, "volume_a3_per_atom": 20.7, "e_form_raw_ev_per_fu": -23.72}

No. 5
{"formula": "Pr3ZnAu", "functional": "PBE-GGA", "state": "optimized geometry", "cell": [[3.8784, 0.0000, 0.0000], [1.9322, 8.1474, 0.0000], [0.0090, 0.5278, 9.0259]], "species": ["Pr", "Pr", "Pr", "Pr", "Pr", "Pr", "Zn", "Zn", "Au", "Au"], "fractional_positions": [[0.0532, 0.3931, 0.1985], [0.2325, 0.0345, 0.8258], [0.4059, 0.6899, 0.4210], [0.5941, 0.3101, 0.5790], [0.7675, 0.9655, 0.1742], [0.9468, 0.6069, 0.8015], [0.2131, 0.0744, 0.4207], [0.7869, 0.9256, 0.5793], [0.4080, 0.6845, 0.0596], [0.5920, 0.3155, 0.9404]], "magmom_total_mub_per_fu": 0.0, "volume_a3_per_atom": 28.5, "polymorph_energy_ev_per_fu": 0.14, "formation_enthalpy_0k_ev_per_atom": -0.373}

No. 6
{"formula": "ZrTiMo2", "functional": "PBE-GGA", "state": "optimized geometry", "cell": [[0.0000, 3.2564, 3.2564], [3.2564, 0.0000, 3.2564], [3.2564, 3.2564, 0.0000]], "species": ["Zr", "Ti", "Mo", "Mo"], "fractional_positions": [[0.0000, 0.0000, 0.0000], [0.5000, 0.5000, 0.5000], [0.2500, 0.2500, 0.2500], [0.7500, 0.7500, 0.7500]], "magmom_total_mub_per_fu": 0.0, "volume_a3_per_atom": 17.3, "polymorph_energy_ev_per_fu": 0.04, "formation_enthalpy_0k_ev_per_atom": 0.033}

No. 7
{"formula": "RbHg2Pd", "functional": "PBE-GGA", "state": "optimized geometry", "cell": [[0.0000, 3.8056, 3.8056], [3.8056, 0.0000, 3.8056], [3.8056, 3.8056, 0.0000]], "species": ["Rb", "Hg", "Hg", "Pd"], "fractional_positions": [[0.0000, 0.0000, 0.0000], [0.2500, 0.2500, 0.2500], [0.7500, 0.7500, 0.7500], [0.5000, 0.5000, 0.5000]], "magmom_total_mub_per_fu": 0.0, "volume_a3_per_atom": 27.6, "polymorph_energy_ev_per_fu": 0.99, "formation_enthalpy_0k_ev_per_atom": 0.047}

No. 8
{"formula": "CrSbMo2", "functional": "PBE-GGA", "state": "optimized geometry", "cell": [[1.7035, -2.3793, 0.0000], [1.7035, 2.3793, 0.0000], [0.0000, 0.0000, 8.2928]], "species": ["Cr", "Sb", "Mo", "Mo"], "fractional_positions": [[0.0000, 0.0000, 0.0000], [0.5000, 0.5000, 0.7483], [0.0000, 0.0000, 0.4734], [0.5000, 0.5000, 0.2259]], "magmom_total_mub_per_fu": 1.6, "volume_a3_per_atom": 16.8, "e_form_raw_ev_per_fu": 1.87}

No. 9
{"formula": "PmNd3Tm3Se8", "functional": "PBE-GGA", "state": "optimized geometry", "cell": [[4.0986, 2.3663, 6.7767], [-4.0986, 2.3663, 6.7767], [0.0000, -4.7327, 6.7767]], "species": ["Pm", "Nd", "Nd", "Nd", "Tm", "Tm", "Tm", "Se", "Se", "Se", "Se", "Se", "Se", "Se", "Se"], "fractional_positions": [[0.0000, 0.0000, 0.0000], [0.0000, 0.0000, 0.5000], [0.0000, 0.5000, 0.0000], [0.5000, 0.0000, 0.0000], [0.0000, 0.5000, 0.5000], [0.5000, 0.0000, 0.5000], [0.5000, 0.5000, 0.0000], [0.2561, 0.2561, 0.2561], [0.2561, 0.2561, 0.7312], [0.2561, 0.7312, 0.2561], [0.2688, 0.7439, 0.7439], [0.7312, 0.2561, 0.2561], [0.7439, 0.2688, 0.7439], [0.7439, 0.7439, 0.2688], [0.7439, 0.7439, 0.7439]], "magmom_total_mub_per_fu": 0.0, "volume_a3_per_atom": 26.3, "e_form_raw_ev_per_fu": -27.45}

No. 10
{"formula": "ScTi2IrN", "functional": "PBE-GGA", "state": "optimized geometry", "cell": [[4.0892, 0.0000, 0.0000], [0.0000, 4.0892, 0.0000], [0.0000, 0.0000, 4.3393]], "species": ["Sc", "Ti", "Ti", "Ir", "N"], "fractional_positions": [[0.0000, 0.0000, 0.0000], [0.0000, 0.5000, 0.5000], [0.5000, 0.0000, 0.5000], [0.5000, 0.5000, 0.0000], [0.0000, 0.0000, 0.5000]], "magmom_total_mub_per_fu": 0.0, "volume_a3_per_atom": 14.5, "e_form_raw_ev_per_fu": -5.20}

No. 11
{"formula": "ScPtC2", "functional": "PBE-GGA", "state": "optimized geometry", "cell": [[0.0000, 2.8196, 2.8196], [2.8196, 0.0000, 2.8196], [2.8196, 2.8196, 0.0000]], "species": ["Sc", "Pt", "C", "C"], "fractional_positions": [[0.0000, 0.0000, 0.0000], [0.5000, 0.5000, 0.5000], [0.2500, 0.2500, 0.2500], [0.7500, 0.7500, 0.7500]], "magmom_total_mub_per_fu": 0.0, "volume_a3_per_atom": 11.2, "polymorph_energy_ev_per_fu": 1.45, "formation_enthalpy_0k_ev_per_atom": 0.844}

No. 12
{"formula": "AcPrGdAu", "functional": "PBE-GGA", "state": "optimized geometry", "cell": [[0.0000, 3.9130, 3.9130], [3.9130, 0.0000, 3.9130], [3.9130, 3.9130, 0.0000]], "species": ["Ac", "Pr", "Gd", "Au"], "fractional_positions": [[0.0000, 0.0000, 0.0000], [0.7500, 0.7500, 0.7500], [0.2500, 0.2500, 0.2500], [0.5000, 0.5000, 0.5000]], "magmom_total_mub_per_fu": 9.2, "volume_a3_per_atom": 30.0, "formation_enthalpy_0k_ev_per_atom": -0.053}